This record from Alexandria via LeMat-Bulk describes a geometry-optimized Rb2SmW3O12 structure. The functional is PBE with a Hubbard U.

Cell lengths 7.6972, 7.6972, 7.6972 Å; angles 58.61, 58.61, 58.61 degrees
Closest atoms and distances in Å follow each position.
Positions (direct):
Rb 0.1344 0.1344 0.1344  3 O 3.07
Rb 0.8656 0.8656 0.8656  3 O 3.07
Sm 0.5000 0.5000 0.5000  6 O 2.33
W 0.0000 0.5000 0.5000  6 O 1.91-1.96
W 0.5000 0.0000 0.5000  6 O 1.91-1.96
W 0.5000 0.5000 0.0000  6 O 1.91-1.96
O 0.1349 0.5814 0.5814  1 W 1.91
O 0.2023 0.2023 0.5689  2 W 1.96
O 0.2023 0.5689 0.2023  2 W 1.96
O 0.4186 0.4186 0.8651  1 W 1.91
O 0.4186 0.8651 0.4186  1 W 1.91
O 0.4311 0.7977 0.7977  2 W 1.96
O 0.5689 0.2023 0.2023  2 W 1.96
O 0.5814 0.1349 0.5814  1 W 1.91
O 0.5814 0.5814 0.1349  1 W 1.91
O 0.7977 0.4311 0.7977  2 W 1.96
O 0.7977 0.7977 0.4311  2 W 1.96
O 0.8651 0.4186 0.4186  1 W 1.91

DFT total energy: -7.027 eV per atom